Density functional theory data (PBE) for a relaxed Gd3Cu2Te7 crystal. Values from VASP.

The structure in Quantum ESPRESSO input format:
```
&SYSTEM
  ibrav = 0, nat = 24, ntyp = 3
/
ATOMIC_SPECIES
Gd 157.25 Gd.upf
Cu 63.55 Cu.upf
Te 127.60 Te.upf
CELL_PARAMETERS angstrom
6.2066 0.0000 0.0000
0.0000 9.6820 5.8038
0.0000 -9.6820 5.8038
ATOMIC_POSITIONS crystal
Gd 0.2500 0.0882 0.9118
Gd 0.2500 0.1140 0.4005
Gd 0.2500 0.5888 0.8746
Gd 0.7500 0.4005 0.1140
Gd 0.7500 0.8746 0.5888
Gd 0.7500 0.9118 0.0882
Cu 0.2500 0.2642 0.7352
Cu 0.2500 0.7925 0.3493
Cu 0.7500 0.3493 0.7925
Cu 0.7500 0.7352 0.2642
Te 0.0000 0.1921 0.1921
Te 0.9999 0.3754 0.6158
Te 0.0001 0.6158 0.3754
Te 0.0000 0.8066 0.8066
Te 0.2500 0.3929 0.0001
Te 0.2500 0.8424 0.1501
Te 0.2500 0.9954 0.6025
Te 0.5000 0.1921 0.1921
Te 0.5001 0.3754 0.6158
Te 0.4999 0.6158 0.3754
Te 0.5000 0.8066 0.8066
Te 0.7500 0.0001 0.3929
Te 0.7500 0.1501 0.8424
Te 0.7500 0.6025 0.9954
```

E_tot in eV per formula unit: -83.6